First-principles (PBE-GGA) data for a geometry-optimized Hg2CN structure, as listed in the Alexandria database.

Summary:
M_tot (μB/f.u.): 1.2
E_form (uncorrected) (eV/atom): 2.361
SG: Fm-3m, No. 225
DFT total energy (eV/atom): -2.1775
Energy above the lowest structure with this stoichiometry (meV per atom): 436.7

The structure in POSCAR format:
```
Hg2CN
1.0
3.923 -0.964 1.621
0.567 -0.277 4.306
0.695 -3.874 1.859
C Hg N
1 2 1
Cartesian
0.000 0.000 0.000
1.296 -1.279 1.947
3.888 -3.836 5.840
2.592 -2.557 3.893
```



First-principles (PBE-GGA) data for a geometry-optimized Ho5CdHg6 structure, as listed in the Alexandria database.

Summary:
Formation energy from the elements (eV per formula unit): -5.3
M_tot (μB/f.u.): 0.0
SG: P2/m, No. 10
DFT total energy (eV/atom): -2.5734

The structure in POSCAR format:
```
Ho5CdHg6
1.0
-3.245 4.065 0.063
-1.705 -1.252 -7.070
-7.402 -2.629 2.250
Cd Hg Ho
1 6 5
Cartesian
0.000 0.000 0.000
-6.476 1.550 -4.562
-5.592 2.199 -0.896
-2.073 1.701 -1.839
-2.876 1.112 -5.169
-6.759 -2.015 -3.862
-5.875 -1.366 -0.196
-7.884 0.387 -2.019
-3.433 0.573 0.726
-0.853 -0.626 -3.535
-7.214 0.863 1.587
-4.468 -0.203 -2.738
```



First-principles (PBE-GGA) data for a geometry-optimized KNiSb structure, as listed in the Alexandria database.

Summary:
M_tot (μB/f.u.): 0.0
E_form (uncorrected) (eV/atom): 0.308
SG: F-43m, No. 216
DFT total energy (eV/atom): -3.3590

The structure in POSCAR format:
```
KNiSb
1.0
4.759 0.000 0.000
2.379 4.121 0.000
2.379 1.374 3.886
K Ni Sb
1 1 1
Cartesian
4.759 2.748 1.943
7.138 4.121 2.914
0.000 0.000 0.000
```